[1]
A geometry-optimized HgRh4Se structure, computed with PBE-GGA.

It has space group F-43m (No. 216), with a = 7.3958 Å, b = 7.3958 Å, c = 7.3958 Å, α = 90.00°, β = 90.00° and γ = 90.00°. The inequivalent atoms are Hg at (0.0000, 0.0000, 0.0000), Rh at (0.1246, 0.1246, 0.6246) and Se at (0.2500, 0.2500, 0.2500).

As for the uncorrected energy: -5.095 eV/atom. Its crystal system is cubic. The calculated density comes out at 11.35 Mg/m³. As for the raw formation energy: 42.2 kJ per mole of atoms.

***

[2]
A geometry-optimized CaAl3Si structure, computed with PBE-GGA.

It has space group Pm-3m (No. 221), with a = 4.9165 Å, b = 4.9165 Å, c = 4.9165 Å, α = 90.00°, β = 90.00° and γ = 90.00°. The inequivalent atoms are Ca at (0.0000, 0.0000, 0.0000), Al at (0.0000, 0.5000, 0.5000) and Si at (0.5000, 0.5000, 0.5000).

As for the uncorrected energy: -3.446 eV/atom. Its crystal system is cubic. The calculation puts the energy above the lowest structure with this stoichiometry at 487 meV per atom. The calculated density comes out at 2.08 Mg/m³. As for the raw formation energy: 27.5 kJ per mole of atoms.